# 1
# LuSi2Ni2 meta-GGA SCAN single point on PBEsol structure
# Formation energy without anion corrections   -19.88 kcal/mol of atoms
data_LuSi2Ni2
_space_group_name_H-M_alt 'I 4/m m m'
_space_group_IT_number 139
_space_group_name_Hall '-I 4 2'
_cell_length_a 3.874
_cell_length_b 3.874
_cell_length_c 9.379
_cell_angle_alpha 90.00
_cell_angle_beta 90.00
_cell_angle_gamma 90.00
loop_
_atom_site_label
_atom_site_fract_x
_atom_site_fract_y
_atom_site_fract_z
Lu1 0.000 0.000 0.000
Si1 0.000 0.000 0.375
Ni1 0.000 0.500 0.250



# 2
# Lu2Si5Ni3 meta-GGA SCAN single point on PBEsol structure
# Formation energy without anion corrections   -18.30 kcal/mol of atoms
data_Lu2Si5Ni3
_space_group_name_H-M_alt 'I b a m'
_space_group_IT_number 72
_space_group_name_Hall '-I 2 2c'
_cell_length_a 9.466
_cell_length_b 10.839
_cell_length_c 5.536
_cell_angle_alpha 90.00
_cell_angle_beta 90.00
_cell_angle_gamma 90.00
loop_
_atom_site_label
_atom_site_fract_x
_atom_site_fract_y
_atom_site_fract_z
Lu1 0.235 0.132 0.000
Si1 0.000 0.000 0.250
Si2 0.000 0.267 0.250
Si3 0.154 0.394 0.000
Ni1 0.000 0.500 0.250
Ni2 0.115 0.135 0.500



# 3
# LuSi2Ni meta-GGA SCAN single point on PBEsol structure
# Formation energy without anion corrections   -19.23 kcal/mol of atoms
data_LuSi2Ni
_space_group_name_H-M_alt 'C m c m'
_space_group_IT_number 63
_space_group_name_Hall '-C 2c 2'
_cell_length_a 3.846
_cell_length_b 16.407
_cell_length_c 3.859
_cell_angle_alpha 90.00
_cell_angle_beta 90.00
_cell_angle_gamma 90.00
loop_
_atom_site_label
_atom_site_fract_x
_atom_site_fract_y
_atom_site_fract_z
Lu1 0.000 0.105 0.250
Si1 0.000 0.250 0.750
Si2 0.000 0.460 0.250
Ni1 0.000 0.325 0.250



# 4
# Lu6Ni2Sn meta-GGA SCAN single point on PBEsol structure
# Formation energy from the elements   -0.494 eV/atom
data_Lu6Ni2Sn
_space_group_name_H-M_alt 'I m m m'
_space_group_IT_number 71
_space_group_name_Hall '-I 2 2'
_cell_length_a 8.974
_cell_length_b 9.259
_cell_length_c 9.786
_cell_angle_alpha 90.00
_cell_angle_beta 90.00
_cell_angle_gamma 90.00
loop_
_atom_site_label
_atom_site_fract_x
_atom_site_fract_y
_atom_site_fract_z
Lu1 0.000 0.207 0.234
Lu2 0.192 0.500 0.175
Lu3 0.208 0.317 0.500
Ni1 0.000 0.350 0.000
Ni2 0.000 0.500 0.376
Sn1 0.000 0.000 0.000
Sn2 0.000 0.000 0.500



# 5
# LuNiSn4 meta-GGA SCAN single point on PBEsol structure
# Formation energy from the elements   -0.309 eV/atom
data_LuNiSn4
_space_group_name_H-M_alt 'C m m m'
_space_group_IT_number 65
_space_group_name_Hall '-C 2 2'
_cell_length_a 4.327
_cell_length_b 27.785
_cell_length_c 4.403
_cell_angle_alpha 90.00
_cell_angle_beta 90.00
_cell_angle_gamma 90.00
loop_
_atom_site_label
_atom_site_fract_x
_atom_site_fract_y
_atom_site_fract_z
Lu1 0.000 0.195 0.000
Ni1 0.000 0.447 0.500
Sn1 0.000 0.000 0.500
Sn2 0.000 0.111 0.500
Sn3 0.000 0.286 0.500
Sn4 0.000 0.389 0.000
Sn5 0.000 0.500 0.000



# 6
# LuNi4Sn meta-GGA SCAN single point on PBEsol structure
# Formation energy from the elements   -0.403 eV/atom
data_LuNi4Sn
_space_group_name_H-M_alt 'F -4 3 m'
_space_group_IT_number 216
_space_group_name_Hall 'F -4 2 3'
_cell_length_a 6.885
_cell_length_b 6.885
_cell_length_c 6.885
_cell_angle_alpha 90.00
_cell_angle_beta 90.00
_cell_angle_gamma 90.00
loop_
_atom_site_label
_atom_site_fract_x
_atom_site_fract_y
_atom_site_fract_z
Lu1 0.000 0.000 0.000
Ni1 0.125 0.125 0.625
Sn1 0.250 0.250 0.250



# 7
# LuNiSn meta-GGA SCAN single point on PBEsol structure
# Formation energy from the elements   -0.731 eV/atom
data_LuNiSn
_space_group_name_H-M_alt 'P n m a'
_space_group_IT_number 62
_space_group_name_Hall '-P 2ac 2n'
_cell_length_a 6.852
_cell_length_b 4.347
_cell_length_c 7.530
_cell_angle_alpha 90.00
_cell_angle_beta 90.00
_cell_angle_gamma 90.00
loop_
_atom_site_label
_atom_site_fract_x
_atom_site_fract_y
_atom_site_fract_z
Lu1 0.013 0.250 0.198
Ni1 0.210 0.750 0.412
Sn1 0.185 0.250 0.585



# 8
# Lu2NiSn6 meta-GGA SCAN single point on PBEsol structure
# Formation energy from the elements   -0.443 eV/atom
data_Lu2NiSn6
_space_group_name_H-M_alt 'C m m m'
_space_group_IT_number 65
_space_group_name_Hall '-C 2 2'
_cell_length_a 4.282
_cell_length_b 22.041
_cell_length_c 4.330
_cell_angle_alpha 90.00
_cell_angle_beta 90.00
_cell_angle_gamma 90.00
loop_
_atom_site_label
_atom_site_fract_x
_atom_site_fract_y
_atom_site_fract_z
Lu1 0.000 0.179 0.000
Ni1 0.000 0.500 0.500
Sn1 0.000 0.072 0.500
Sn2 0.000 0.296 0.500
Sn3 0.000 0.429 0.000



# 9
# Lu2O3 meta-GGA SCAN single point on PBEsol structure
# Formation energy without anion corrections   -92.74 kcal/mol of atoms
data_Lu2O3
_space_group_name_H-M_alt 'C 1 2/m 1'
_space_group_IT_number 12
_space_group_name_Hall '-C 2y'
_cell_length_a 13.529
_cell_length_b 3.350
_cell_length_c 8.307
_cell_angle_alpha 90.00
_cell_angle_beta 100.17
_cell_angle_gamma 90.00
loop_
_atom_site_label
_atom_site_fract_x
_atom_site_fract_y
_atom_site_fract_z
Lu1 0.033 0.000 0.314
Lu2 0.135 0.500 0.986
Lu3 0.191 0.500 0.637
O1 0.000 0.500 0.500
O2 0.030 0.500 0.157
O3 0.127 0.000 0.781
O4 0.174 0.000 0.469
O5 0.208 0.000 0.123



# 10
# Lu2O3 meta-GGA SCAN single point on PBEsol structure
# Formation energy without anion corrections   -93.72 kcal/mol of atoms
data_Lu2O3
_space_group_name_H-M_alt 'I a -3'
_space_group_IT_number 206
_space_group_name_Hall '-I 2b 2c 3'
_cell_length_a 10.231
_cell_length_b 10.231
_cell_length_c 10.231
_cell_angle_alpha 90.00
_cell_angle_beta 90.00
_cell_angle_gamma 90.00
loop_
_atom_site_label
_atom_site_fract_x
_atom_site_fract_y
_atom_site_fract_z
Lu1 0.000 0.250 0.466
Lu2 0.250 0.250 0.250
O1 0.109 0.152 0.620



# 11
# Lu2O3 meta-GGA SCAN single point on PBEsol structure
# Formation energy without anion corrections   -91.93 kcal/mol of atoms
data_Lu2O3
_space_group_name_H-M_alt 'P -3 m 1'
_space_group_IT_number 164
_space_group_name_Hall '-P 3 2"'
_cell_length_a 3.5274
_cell_length_b 3.5274
_cell_length_c 5.6469
_cell_angle_alpha 90.00
_cell_angle_beta 90.00
_cell_angle_gamma 120.00
loop_
_atom_site_label
_atom_site_fract_x
_atom_site_fract_y
_atom_site_fract_z
Lu1 0.3333 0.6667 0.2494
O1 0.0000 0.0000 0.0000
O2 0.3333 0.6667 0.6461



# 12
# LuP5O14 meta-GGA SCAN single point on PBEsol structure
# Formation energy without anion corrections   -60.09 kcal/mol of atoms
data_LuP5O14
_space_group_name_H-M_alt 'P n m a'
_space_group_IT_number 62
_space_group_name_Hall '-P 2ac 2n'
_cell_length_a 8.675
_cell_length_b 12.575
_cell_length_c 8.900
_cell_angle_alpha 90.00
_cell_angle_beta 90.00
_cell_angle_gamma 90.00
loop_
_atom_site_label
_atom_site_fract_x
_atom_site_fract_y
_atom_site_fract_z
Lu1 0.020 0.250 0.055
P1 0.009 0.581 0.296
P2 0.075 0.750 0.509
P3 0.242 0.573 0.774
O1 0.005 0.636 0.151
O2 0.025 0.152 0.563
O3 0.043 0.750 0.672
O4 0.111 0.510 0.679
O5 0.155 0.123 0.161
O6 0.167 0.528 0.344
O7 0.171 0.632 0.900
O8 0.233 0.750 0.441



Which formula does entry 1 have? LuSi2Ni2